[1]
Below is crystalline Mg2Co2Pd at its relaxed geometry, with properties calculated at the PBE-GGA level.

Computed properties:
- calculated formation energy (meV/atom) = 19
- energy (eV per cell) = -45.00
- volume (Å³ per atom) = 15.52
- crystal system = tetragonal
- symmetry = P4/mbm, No. 127
- ΔE to the lowest computed polymorph (meV per atom) = 72

The structure in extended XYZ format:
```
10
Lattice="6.3040 0.0000 0.0000 0.0000 6.3040 0.0000 0.0000 0.0000 3.9043" Properties=species:S:1:pos:R:3 pbc="T T T"
Mg 1.1233 2.0287 0.0000
Mg 2.0287 5.1807 0.0000
Mg 4.2754 1.1233 0.0000
Mg 5.1807 4.2754 0.0000
Co 0.7515 3.9035 1.9521
Co 2.4005 0.7515 1.9521
Co 3.9035 5.5526 1.9521
Co 5.5526 2.4005 1.9521
Pd 0.0000 0.0000 1.9521
Pd 3.1520 3.1520 1.9521
```

---

[2]
Below is crystalline V2CoCu at its relaxed geometry, with properties calculated at the PBE-GGA level.

Computed properties:
- calculated formation energy (meV/atom) = 1
- energy (eV per cell) = -29.44
- volume (Å³ per atom) = 12.11
- crystal system = tetragonal
- symmetry = P4/mmm, No. 123

The structure in extended XYZ format:
```
4
Lattice="3.5923 0.0000 0.0000 0.0000 3.5923 0.0000 0.0000 0.0000 3.7542" Properties=species:S:1:pos:R:3 pbc="T T T"
V 0.0000 1.7961 0.0000
V 1.7961 0.0000 0.0000
Co 0.0000 0.0000 1.8771
Cu 1.7961 1.7961 1.8771
```

---

[3]
Below is crystalline Ti3IrCl at its relaxed geometry, with properties calculated at the PBE-GGA level.

Computed properties:
- energy (eV per cell) = -34.47
- volume (Å³ per atom) = 16.59
- formation energy (no corrections) (eV/atom) = -0.01
- crystal system = cubic
- symmetry = Pm-3m, No. 221
- ΔE to the lowest computed polymorph (meV per atom) = 0

The structure in extended XYZ format:
```
5
Lattice="4.3613 0.0000 0.0000 0.0000 4.3613 0.0000 0.0000 0.0000 4.3613" Properties=species:S:1:pos:R:3 pbc="T T T"
Ti 0.0000 0.0000 2.1806
Ti 0.0000 2.1806 0.0000
Ti 2.1806 0.0000 0.0000
Ir 2.1806 2.1806 2.1806
Cl 0.0000 0.0000 0.0000
```

---

[4]
Below is crystalline Nb2VIn at its relaxed geometry, with properties calculated at the PBE-GGA level.

Computed properties:
- calculated formation energy (meV/atom) = 635
- energy (eV per cell) = -58.92
- volume (Å³ per atom) = 19.35
- crystal system = tetragonal
- symmetry = I-42d, No. 122

The structure in extended XYZ format:
```
8
Lattice="-1.9584 1.9584 10.0896 1.9584 -1.9584 10.0896 1.9584 1.9584 -10.0896" Properties=species:S:1:pos:R:3 pbc="T T T"
Nb 2.9376 0.9371 -2.5224
Nb 0.9371 0.9792 2.5224
Nb -0.9792 1.0214 7.5672
Nb 1.0214 0.9792 12.6120
V 0.0000 0.0000 0.0000
V 0.0000 1.9584 5.0448
In 1.9584 0.0000 5.0448
In 0.0000 0.0000 10.0896
```

---

[5]
Below is crystalline Na3Dy2MnTe6 at its relaxed geometry, with properties calculated at the PBE-GGA level.

Computed properties:
- energy (eV per cell) = -53.03
- volume (Å³ per atom) = 30.62
- formation energy (no corrections) (eV/atom) = -0.99
- crystal system = monoclinic
- symmetry = C2/m, No. 12

The structure in extended XYZ format:
```
12
Lattice="3.7392 -6.5153 0.0000 3.7392 6.5153 0.0000 -2.4976 0.0000 7.5411" Properties=species:S:1:pos:R:3 pbc="T T T"
Na 0.0000 0.0000 0.0000
Na 3.7392 2.2318 0.0000
Na 3.7392 -2.2318 0.0000
Dy 2.4904 4.3419 3.7705
Dy 2.4904 -4.3419 3.7705
Mn 2.4904 0.0000 3.7705
Te 1.3105 2.0475 2.0706
Te 0.1903 0.0000 5.4254
Te 1.3105 -2.0475 2.0706
Te 3.6702 2.0475 5.4705
Te 4.7905 0.0000 2.1157
Te 3.6702 -2.0475 5.4705
```

---

[6]
Below is crystalline Te2IrRh at its relaxed geometry, with properties calculated at the PBE-GGA level.

Computed properties:
- energy (eV per cell) = -21.24
- volume (Å³ per atom) = 19.38
- formation energy (no corrections) (eV/atom) = 0.31
- crystal system = orthorhombic
- symmetry = Imm2, No. 44
- ΔE to the lowest computed polymorph (meV per atom) = 394

The structure in extended XYZ format:
```
4
Lattice="-1.5627 2.4181 5.1300 1.5627 -2.4181 5.1300 1.5627 2.4181 -5.1300" Properties=species:S:1:pos:R:3 pbc="T T T"
Te 0.0000 0.0000 0.0000
Te 0.0000 2.4181 2.1034
Ir 0.0000 0.0000 4.9024
Rh 1.5627 0.0000 2.3950
```

---

[7]
Below is crystalline SrPN2 at its relaxed geometry, with properties calculated at the PBE-GGA level.

Computed properties:
- energy (eV per cell) = -25.25
- volume (Å³ per atom) = 17.18
- formation energy (no corrections) (eV/atom) = -0.38
- crystal system = monoclinic
- symmetry = Pm, No. 6
- ΔE to the lowest computed polymorph (meV per atom) = 0

The structure in extended XYZ format:
```
4
Lattice="3.7471 0.0000 0.0000 0.0000 3.3111 0.0000 -1.8610 0.0000 5.5373" Properties=species:S:1:pos:R:3 pbc="T T T"
Sr 0.0000 0.0000 0.0000
P 0.0208 1.6556 3.2480
N 0.0308 0.0000 2.5518
N 0.0112 1.6556 4.8506
```

---

[8]
Below is crystalline Be3In at its relaxed geometry, with properties calculated at the PBE-GGA level.

Computed properties:
- calculated formation energy (meV/atom) = 551
- energy (eV per cell) = -23.42
- volume (Å³ per atom) = 12.62
- crystal system = cubic
- symmetry = Pm-3n, No. 223
- ΔE to the lowest computed polymorph (meV per atom) = 319

The structure in extended XYZ format:
```
8
Lattice="4.6561 0.0000 0.0000 0.0000 4.6561 0.0000 0.0000 0.0000 4.6561" Properties=species:S:1:pos:R:3 pbc="T T T"
Be 0.0000 1.1640 2.3281
Be 0.0000 3.4921 2.3281
Be 1.1640 2.3281 0.0000
Be 2.3281 0.0000 1.1640
Be 2.3281 0.0000 3.4921
Be 3.4921 2.3281 0.0000
In 0.0000 0.0000 0.0000
In 2.3281 2.3281 2.3281
```

---

Among the records above, which one has the highest volume?
Na3Dy2MnTe6